i.
# TiTl2Re

TiTl2Re after structural relaxation (PBE-GGA, the Alexandria database).

## Properties
* size of the total moment: 0.00 μB/f.u.
* crystal system: cubic
* Fermi-level density of states: 2.45 states/eV/f.u.

a = 4.7415 Å, b = 4.7415 Å, c = 4.7415 Å
α = 60.00°, β = 60.00°, γ = 60.00°
Last column: nearest neighbours and their distance in Å.
Positions (direct):
Ti (0.0000, 0.0000, 0.0000)  8 Tl 2.90
Tl (0.2500, 0.2500, 0.2500)  4 Re 2.90, 4 Ti 2.90
Tl (0.7500, 0.7500, 0.7500)  4 Re 2.90, 4 Ti 2.90
Re (0.5000, 0.5000, 0.5000)  8 Tl 2.90

ii.
# TiTl2Re

TiTl2Re after structural relaxation (PBE-GGA, the Alexandria database).

## Properties
* size of the total moment: 1.04 μB/f.u.
* crystal system: tetragonal
* Fermi-level density of states: 2.77 states/eV/f.u.

a = 6.1604 Å, b = 6.1604 Å, c = 6.1604 Å
α = 102.71°, β = 102.71°, γ = 124.05°
Last column: nearest neighbours and their distance in Å.
Positions (direct):
Ti (0.0000, 0.0000, 0.0000)  4 Tl 2.85, 2 Re 2.89
Ti (0.7500, 0.2500, 0.5000)  4 Tl 2.85, 2 Re 2.89
Tl (0.1311, 0.6250, 0.0061)  2 Re 2.78, 2 Ti 2.85, 2 Tl 2.89
Tl (0.3750, 0.3811, 0.5061)  2 Re 2.78, 2 Ti 2.85, 2 Tl 2.89
Tl (0.6189, 0.1250, 0.9939)  2 Re 2.78, 2 Ti 2.85, 2 Tl 2.89
Tl (0.8750, 0.8689, 0.4939)  2 Re 2.78, 2 Ti 2.85, 2 Tl 2.89
Re (0.2500, 0.7500, 0.5000)  4 Tl 2.78, 2 Ti 2.89
Re (0.5000, 0.5000, 0.0000)  4 Tl 2.78, 2 Ti 2.89

Short version: ii is the least stable of them.

i.
# UTiRe2

UTiRe2 after structural relaxation (PBE-GGA, the Alexandria database).

## Properties
* size of the total moment: 0.00 μB/f.u.
* crystal system: tetragonal
* Fermi-level density of states: 4.64 states/eV/f.u.

a = 4.6358 Å, b = 4.6358 Å, c = 3.2053 Å
α = 90.00°, β = 90.00°, γ = 90.00°
Last column: nearest neighbours and their distance in Å.
Positions (direct):
U (0.0000, 0.0000, 0.0000)  8 Re 2.82
Ti (0.5000, 0.5000, 0.0000)  8 Re 2.82
Re (0.0000, 0.5000, 0.5000)  4 Ti 2.82, 4 U 2.82
Re (0.5000, 0.0000, 0.5000)  4 Ti 2.82, 4 U 2.82

ii.
# UTiRe2

UTiRe2 after structural relaxation (PBE-GGA, the Alexandria database).

## Properties
* size of the total moment: 1.24 μB/f.u.
* crystal system: cubic
* Fermi-level density of states: 8.26 states/eV/f.u.

a = 4.6093 Å, b = 4.6093 Å, c = 4.6093 Å
α = 60.00°, β = 60.00°, γ = 60.00°
Last column: nearest neighbours and their distance in Å.
Positions (direct):
U (0.0000, 0.0000, 0.0000)  8 Re 2.82
Ti (0.5000, 0.5000, 0.5000)  8 Re 2.82
Re (0.2500, 0.2500, 0.2500)  4 Ti 2.82, 4 U 2.82
Re (0.7500, 0.7500, 0.7500)  4 Ti 2.82, 4 U 2.82

Short version: ii is the least stable of them.

i.
# TiV3Re

TiV3Re after structural relaxation (PBE-GGA, the Alexandria database).

## Properties
* size of the total moment: 0.00 μB/f.u.
* crystal system: cubic
* Fermi-level density of states: 7.12 states/eV/f.u.

a = 4.2819 Å, b = 4.2819 Å, c = 4.2819 Å
α = 90.00°, β = 90.00°, γ = 90.00°
Last column: nearest neighbours and their distance in Å.
Positions (direct):
Ti (0.0000, 0.0000, 0.0000)  6 V 2.14
V (0.0000, 0.0000, 0.5000)  2 Ti 2.14
V (0.0000, 0.5000, 0.0000)  2 Ti 2.14
V (0.5000, 0.0000, 0.0000)  2 Ti 2.14
Re (0.5000, 0.5000, 0.5000)  12 V 3.03

ii.
# TiV3Re

TiV3Re after structural relaxation (PBE-GGA, the Alexandria database).

## Properties
* size of the total moment: 0.00 μB/f.u.
* crystal system: trigonal
* Fermi-level density of states: 6.59 states/eV/f.u.

a = 4.4536 Å, b = 4.4536 Å, c = 4.4536 Å
α = 70.88°, β = 70.88°, γ = 70.88°
Last column: nearest neighbours and their distance in Å.
Positions (direct):
Ti (0.0000, 0.0000, 0.0000)  1 Re 2.49, 3 V 2.56
V (0.1264, 0.6226, 0.6226)  1 Re 2.53, 4 V 2.56-2.60, 1 Ti 2.56
V (0.6226, 0.1264, 0.6226)  1 Re 2.53, 4 V 2.56-2.60, 1 Ti 2.56
V (0.6226, 0.6226, 0.1264)  1 Re 2.53, 4 V 2.56-2.60, 1 Ti 2.56
Re (0.2509, 0.2509, 0.2509)  1 Ti 2.49, 3 V 2.53

iii.
# TiV3Re

TiV3Re after structural relaxation (PBE-GGA, the Alexandria database).

## Properties
* size of the total moment: 0.00 μB/f.u.
* crystal system: monoclinic
* Fermi-level density of states: 5.23 states/eV/f.u.

a = 4.9981 Å, b = 4.7160 Å, c = 6.3535 Å
α = 90.00°, β = 103.04°, γ = 90.00°
Last column: nearest neighbours and their distance in Å.
Positions (direct):
Ti (0.0071, 0.2500, 0.1457)  7 V 2.67-2.93, 1 Re 2.74, 2 Ti 2.99
Ti (0.9929, 0.7500, 0.8543)  7 V 2.67-2.93, 1 Re 2.74, 2 Ti 2.99
V (0.2515, 0.7500, 0.2714)  1 V 2.29, 1 Re 2.48
V (0.4477, 0.7500, 0.6338)  1 V 2.29
V (0.5000, 0.0000, 0.0000)  6 V 2.36-2.62
V (0.5000, 0.5000, 0.0000)  6 V 2.36-2.62
V (0.5523, 0.2500, 0.3662)  1 V 2.29
V (0.7485, 0.2500, 0.7286)  1 V 2.29, 1 Re 2.48
Re (0.1730, 0.2500, 0.5878)  4 V 2.48-2.71, 1 Ti 2.74
Re (0.8270, 0.7500, 0.4122)  4 V 2.48-2.71, 1 Ti 2.74

Short version: i is the least stable of them.

i.
# TiV4Re2

TiV4Re2 after structural relaxation (PBE-GGA, the Alexandria database).

## Properties
* size of the total moment: 0.01 μB/f.u.
* crystal system: tetragonal
* Fermi-level density of states: 10.84 states/eV/f.u.

a = 6.9713 Å, b = 6.9713 Å, c = 6.9713 Å
α = 144.06°, β = 144.06°, γ = 51.74°
Last column: nearest neighbours and their distance in Å.
Positions (direct):
Ti (0.0000, 0.0000, 0.0000)  4 V 2.15
V (0.0000, 0.5000, 0.5000)  2 Ti 2.15
V (0.1947, 0.1947, 0.0000)  1 Re 2.30, 1 Ti 2.44
V (0.5000, 0.0000, 0.5000)  2 Ti 2.15
V (0.8053, 0.8053, 0.0000)  1 Re 2.30, 1 Ti 2.44
Re (0.3777, 0.3777, 0.0000)  1 V 2.30
Re (0.6223, 0.6223, 0.0000)  1 V 2.30

ii.
# TiV4Re2

TiV4Re2 after structural relaxation (PBE-GGA, the Alexandria database).

## Properties
* size of the total moment: 0.00 μB/f.u.
* crystal system: orthorhombic
* Fermi-level density of states: 6.80 states/eV/f.u.

a = 6.0143 Å, b = 5.1979 Å, c = 5.1702 Å
α = 70.91°, β = 54.76°, γ = 54.33°
Last column: nearest neighbours and their distance in Å.
Positions (direct):
Ti (0.0000, 0.0000, 0.0000)  4 V 2.59, 4 Re 2.60
V (0.0000, 0.0000, 0.5000)  2 Ti 2.59, 4 V 2.60
V (0.0000, 0.5000, 0.5000)  4 Re 2.59, 4 V 2.60
V (0.5000, 0.0000, 0.0000)  4 Re 2.59, 4 V 2.60
V (0.5000, 0.5000, 0.0000)  2 Ti 2.59, 4 V 2.60
Re (0.0000, 0.5000, 0.0000)  4 V 2.59, 2 Ti 2.60
Re (0.5000, 0.0000, 0.5000)  4 V 2.59, 2 Ti 2.60

Short version: i is the least stable of them.

i.
# TiVRe

TiVRe after structural relaxation (PBE-GGA, the Alexandria database).

## Properties
* size of the total moment: 0.00 μB/f.u.
* crystal system: orthorhombic
* Fermi-level density of states: 3.71 states/eV/f.u.

a = 9.3845 Å, b = 4.1777 Å, c = 5.1535 Å
α = 90.00°, β = 90.00°, γ = 90.00°
Last column: nearest neighbours and their distance in Å.
Positions (direct):
Ti (0.2089, 0.2500, 0.0949)  4 Re 2.47-2.71
Ti (0.2911, 0.7500, 0.5949)  4 Re 2.47-2.71
Ti (0.7089, 0.2500, 0.4051)  4 Re 2.47-2.71
Ti (0.7911, 0.7500, 0.9051)  4 Re 2.47-2.71
V (0.0374, 0.2500, 0.6228)  3 Re 2.47-2.74, 2 V 2.54
V (0.4626, 0.7500, 0.1228)  3 Re 2.47-2.74, 2 V 2.54
V (0.5374, 0.2500, 0.8772)  3 Re 2.47-2.74, 2 V 2.54
V (0.9626, 0.7500, 0.3772)  3 Re 2.47-2.74, 2 V 2.54
Re (0.0744, 0.7500, 0.8685)  3 V 2.47-2.74, 4 Ti 2.47-2.71
Re (0.4256, 0.2500, 0.3685)  3 V 2.47-2.74, 4 Ti 2.47-2.71
Re (0.5744, 0.7500, 0.6315)  3 V 2.47-2.74, 4 Ti 2.47-2.71
Re (0.9256, 0.2500, 0.1315)  3 V 2.47-2.74, 4 Ti 2.47-2.71

ii.
# TiVRe

TiVRe after structural relaxation (PBE-GGA, the Alexandria database).

## Properties
* size of the total moment: 0.48 μB/f.u.
* crystal system: tetragonal
* Fermi-level density of states: 3.62 states/eV/f.u.

a = 4.2440 Å, b = 4.2440 Å, c = 5.9429 Å
α = 90.00°, β = 90.00°, γ = 90.00°
Last column: nearest neighbours and their distance in Å.
Positions (direct):
Ti (0.0000, 0.5000, 0.0000)  4 Re 2.59
Ti (0.5000, 0.0000, 0.5000)  4 Re 2.59
V (0.0000, 0.5000, 0.5000)  4 Re 2.59
V (0.5000, 0.0000, 0.0000)  4 Re 2.59
Re (0.0000, 0.0000, 0.2500)  4 Ti 2.59, 4 V 2.59
Re (0.0000, 0.0000, 0.7500)  4 Ti 2.59, 4 V 2.59

Short version: ii is the least stable of them.

i.
# TiVRe

TiVRe after structural relaxation (PBE-GGA, the Alexandria database).

## Properties
* size of the total moment: 0.00 μB/f.u.
* crystal system: trigonal
* Fermi-level density of states: 3.73 states/eV/f.u.

a = 4.2959 Å, b = 4.2959 Å, c = 2.7675 Å
α = 90.00°, β = 90.00°, γ = 120.00°
Last column: nearest neighbours and their distance in Å.
Positions (direct):
Ti (0.0000, 0.0000, 0.0000)  3 Re 2.65, 3 V 2.68, 2 Ti 2.77
V (0.6667, 0.3333, 0.3671)  3 Re 2.61, 3 Ti 2.68, 2 V 2.77
Re (0.3333, 0.6667, 0.6639)  3 V 2.61, 3 Ti 2.65, 2 Re 2.77

ii.
# TiVRe

TiVRe after structural relaxation (PBE-GGA, the Alexandria database).

## Properties
* size of the total moment: 0.00 μB/f.u.
* crystal system: orthorhombic
* Fermi-level density of states: 3.78 states/eV/f.u.

a = 6.0253 Å, b = 4.6709 Å, c = 5.2014 Å
α = 75.01°, β = 48.49°, γ = 56.50°
Last column: nearest neighbours and their distance in Å.
Positions (direct):
Ti (0.0000, 0.0000, 0.0000)  5 Re 2.65-2.82, 5 V 2.70-2.80
Ti (0.2500, 0.2500, 0.2500)  5 Re 2.65-2.82, 5 V 2.70-2.80
V (0.3423, 0.3423, 0.6577)  3 Re 2.53-2.66, 5 Ti 2.70-2.80
V (0.5923, 0.5923, 0.9077)  3 Re 2.53-2.66, 5 Ti 2.70-2.80
Re (0.6638, 0.6638, 0.3362)  3 V 2.53-2.66, 5 Ti 2.65-2.82
Re (0.9138, 0.9138, 0.5862)  3 V 2.53-2.66, 5 Ti 2.65-2.82

Short version: ii is the least stable of them.